# 1
Na2YNiBi (PBE-GGA, optimized geometry); density of states at the Fermi level = 1.42 states/eV per cell; calculated formation energy = 0.509 eV per atom; density = 4.299 g/cm³; M_tot = 0.0 μB per formula unit; symmetry = P4/mmm, No. 123; crystal system = tetragonal
1.0
5.683 0.000 0.000
0.000 5.683 0.000
0.000 0.000 4.815
Na Y Ni Bi
2 1 1 1
Cartesian
0.000 2.841 0.000 Na
2.841 0.000 0.000 Na
0.000 0.000 2.407 Y
2.841 2.841 2.407 Ni
2.841 2.841 0.000 Bi

# 2
NaNpBi6 (PBE-GGA, optimized geometry); density of states at the Fermi level = 13.89 states/eV per cell; calculated formation energy = -0.076 eV per atom; density = 10.444 g/cm³; M_tot = 4.4 μB per formula unit; symmetry = P4/mmm, No. 123; crystal system = tetragonal
1.0
4.919 0.000 0.000
0.000 4.919 0.000
0.000 0.000 9.946
Na Np Bi
1 1 6
Cartesian
0.000 0.000 0.000 Na
0.000 0.000 4.973 Np
0.000 2.460 2.507 Bi
0.000 2.460 7.439 Bi
2.460 0.000 2.507 Bi
2.460 0.000 7.439 Bi
2.460 2.460 0.000 Bi
2.460 2.460 4.973 Bi

# 3
NaNpBi2O6 (PBE-GGA, optimized geometry); density of states at the Fermi level = 7.70 states/eV per cell; density = 8.010 g/cm³; formation energy without anion corrections = -1.875 eV/atom; M_tot = 2.0 μB per formula unit; symmetry = P1, No. 1; crystal system = triclinic
1.0
5.986 0.000 0.000
-2.993 5.192 0.000
-2.991 -1.731 5.162
Na Np Bi O
1 1 2 6
Cartesian
0.000 0.000 0.000 Na
2.997 1.731 2.331 Np
-0.002 0.001 4.267 Bi
0.004 3.462 1.824 Bi
-1.370 1.718 0.919 O
-2.212 -0.034 3.337 O
-1.857 3.284 3.335 O
2.173 0.336 0.915 O
2.196 3.143 0.910 O
1.084 1.942 3.334 O

Please write out number 3 again, unchanged.
NaNpBi2O6 (PBE-GGA, optimized geometry); density of states at the Fermi level = 7.70 states/eV per cell; density = 8.010 g/cm³; formation energy without anion corrections = -1.875 eV/atom; M_tot = 2.0 μB per formula unit; symmetry = P1, No. 1; crystal system = triclinic
1.0
5.986 0.000 0.000
-2.993 5.192 0.000
-2.991 -1.731 5.162
Na Np Bi O
1 1 2 6
Cartesian
0.000 0.000 0.000 Na
2.997 1.731 2.331 Np
-0.002 0.001 4.267 Bi
0.004 3.462 1.824 Bi
-1.370 1.718 0.919 O
-2.212 -0.034 3.337 O
-1.857 3.284 3.335 O
2.173 0.336 0.915 O
2.196 3.143 0.910 O
1.084 1.942 3.334 O

- What is the density in the second record?
  10.444 g/cm³

- The highest M_tot belongs to which entry?
  NaNpBi6